No. 1
## Zr2ZnCuCl (PBE)

Data for a geometry-optimized Zr2ZnCuCl structure.

## Properties
Mass density (g/cm³): 5.124
E (eV/cell): -22.5

Unit cell a=5.0322 b=5.0322 c=4.4390 alpha=90.00 beta=90.00 gamma=90.00
Last column: nearest neighbours and their distance in Å.
Sites, in units of the cell vectors:
Zn 0.0000 0.0000 0.5000  2 Cu 2.22
Cu 0.0000 0.0000 0.0000  2 Zn 2.22
Zr 0.0000 0.5000 0.0000  2 Cu 2.52
Zr 0.5000 0.0000 0.0000  2 Cu 2.52
Cl 0.5000 0.5000 0.5000  8 Zr 3.36, 4 Zn 3.56

***

No. 2
## Zr4CuCl (PBE)

Data for a geometry-optimized Zr4CuCl structure.

## Properties
Mass density (g/cm³): 5.690
E (eV/cell): -36.5

Unit cell a=5.7634 b=5.7634 c=5.7634 alpha=60.00 beta=60.00 gamma=60.00
Last column: nearest neighbours and their distance in Å.
Sites, in units of the cell vectors:
Zr 0.8829 0.3724 0.3724  6 Zr 2.82-2.94
Zr 0.3724 0.3724 0.8829  6 Zr 2.82-2.94
Zr 0.3724 0.8829 0.3724  6 Zr 2.82-2.94
Zr 0.3724 0.3724 0.3724  6 Zr 2.82-2.94
Cu 0.0000 0.0000 0.0000  12 Zr 3.37, 4 Cl 3.53
Cl 0.7500 0.7500 0.7500  12 Zr 3.39, 4 Cu 3.53

***

No. 3
## ZrCu2Cl (PBE)

Data for a geometry-optimized ZrCu2Cl structure.

## Properties
Distance to the lowest polymorph of the same formula (eV/atom): 0.301
Mass density (g/cm³): 6.422
E (eV/cell): -18.6

Unit cell a=5.6005 b=5.6005 c=5.6005 alpha=142.17 beta=142.17 gamma=54.57
Last column: nearest neighbours and their distance in Å.
Sites, in units of the cell vectors:
Cu 0.0000 0.0000 0.0000  4 Cu 2.57
Cu 0.5000 0.5000 0.0000  4 Cu 2.57
Zr 0.2500 0.7500 0.5000  4 Cl 2.57
Cl 0.7500 0.2500 0.5000  4 Zr 2.57

***

No. 4
## ZrCu2Cl (PBE)

Data for a geometry-optimized ZrCu2Cl structure.

## Properties
Distance to the lowest polymorph of the same formula (eV/atom): 0.110
Mass density (g/cm³): 5.268
E (eV/cell): -19.4

Unit cell a=9.2341 b=9.2341 c=9.2341 alpha=19.92 beta=19.92 gamma=19.92
Last column: nearest neighbours and their distance in Å.
Sites, in units of the cell vectors:
Cu 0.9760 0.9760 0.9760  3 Cu 2.46
Cu 0.2494 0.2494 0.2494  3 Cu 2.46
Zr 0.5046 0.5046 0.5046  3 Cl 2.61, 3 Cu 2.81
Cl 0.7700 0.7700 0.7700  3 Zr 2.61

***

Ordered N(E_F) results: 4.92; 7.06; 2.61; 1.99; unit states/eV per cell.
Ordered V results: 112.4; 135.4; 65.6; 80.0; unit Å³/f.u..